Model i:
Sc3TeC PBE relaxed; DOS at the Fermi energy = 4.1 states/eV/f.u.; SG = No. 221
1.0
4.5416 0.0000 0.0000
0.0000 4.5416 0.0000
0.0000 0.0000 4.5416
Sc Te C
3 1 1
direct
0.5000 0.0000 0.0000
0.0000 0.5000 0.0000
0.0000 0.0000 0.5000
0.5000 0.5000 0.5000
0.0000 0.0000 0.0000

Model ii:
Sc3TeC PBE relaxed; DOS at the Fermi energy = 4.5 states/eV/f.u.; SG = No. 11
1.0
-3.0652 -1.2012 -1.5534
0.6355 -5.5738 3.0562
-4.6995 4.8223 5.5441
Te Sc C
2 6 2
direct
0.2500 0.7432 0.8333
0.7500 0.2568 0.1667
0.7500 0.4071 0.6492
0.2500 0.0576 0.3719
0.2500 0.2789 0.9033
0.7500 0.7211 0.0967
0.7500 0.9424 0.6281
0.2500 0.5929 0.3508
0.2500 0.1841 0.6337
0.7500 0.8159 0.3663

Stability check: which of them is least stable? model i.